Compound: TcNi2Cl
Source: Alexandria via LeMat-Bulk
Functional: PBE
Structure: optimized geometry

Geometry as extended XYZ:
```
4
Lattice="2.931 0.000 0.000 0.000 2.931 0.000 0.000 0.000 6.287" Properties=species:S:1:pos:R:3 pbc="T T T"
Cl 1.466 1.466 4.720
Ni 0.000 0.000 0.240
Ni 1.466 1.466 1.558
Tc 0.000 0.000 2.912
```

Values from the calculation:
DFT total energy: -22.34 eV/f.u.
uncorrected formation energy: 359 meV per atom
spin magnetization: 0.000 μB/atom
space group: P4mm